Below is Li2YRhSe after structural relaxation, with properties calculated at the PBE level.

Summary:
* Fermi-level density of states: 1.320 states/eV/atom
* total energy: -3.369 eV/atom
* total magnetization: 0.215 μB/atom

Unit cell a=5.474 b=5.127 c=5.474 alpha=90.00 beta=90.00 gamma=90.00
Last column: magnetic moment on the atom in μB.
Element x y z (fractional)
Se 0.000 0.500 0.000  0.03
Rh 0.500 0.500 0.500  1.02
Li 0.500 0.000 0.000  0.00
Li 0.000 0.000 0.500  0.00
Y 0.000 0.000 0.000  0.00

=====

Below is Li2SiRh2 after structural relaxation, with properties calculated at the PBE level.

Summary:
* Fermi-level density of states: 0.233 states/eV/atom
* total energy: -5.291 eV/atom
* total magnetization: 0.000 μB/atom

Unit cell a=6.020 b=6.020 c=4.156 alpha=90.00 beta=90.00 gamma=90.00
Element x y z (fractional)
Rh 0.151 0.349 0.000
Rh 0.651 0.151 0.000
Rh 0.349 0.849 0.000
Rh 0.849 0.651 0.000
Si 0.500 0.500 0.000
Si 0.000 0.000 0.000
Li 0.662 0.838 0.500
Li 0.338 0.162 0.500
Li 0.162 0.662 0.500
Li 0.838 0.338 0.500

=====

Below is LiSiRh after structural relaxation, with properties calculated at the PBE level.

Summary:
* Fermi-level density of states: 0.415 states/eV/atom
* total energy: -5.457 eV/atom
* total magnetization: 0.000 μB/atom

Unit cell a=4.580 b=4.580 c=4.580 alpha=142.56 beta=139.13 gamma=56.61
Element x y z (fractional)
Rh 0.326 0.326 0.000
Si 0.674 0.674 0.000
Li 0.001 0.001 0.000

=====

Below is Li2Si2Rh after structural relaxation, with properties calculated at the PBE level.

Summary:
* Fermi-level density of states: 0.317 states/eV/atom
* total energy: -4.573 eV/atom
* total magnetization: 0.000 μB/atom

Unit cell a=6.688 b=6.688 c=6.688 alpha=151.38 beta=151.38 gamma=40.92
Element x y z (fractional)
Li 0.250 0.750 0.500
Li 0.750 0.250 0.500
Rh 0.000 0.000 0.000
Si 0.595 0.595 0.000
Si 0.405 0.405 0.000

=====

Below is Li2Si2Rh after structural relaxation, with properties calculated at the PBE level.

Summary:
* Fermi-level density of states: 0.352 states/eV/atom
* total energy: -4.777 eV/atom
* total magnetization: 0.000 μB/atom

Unit cell a=6.164 b=6.164 c=3.878 alpha=90.00 beta=90.00 gamma=90.00
Element x y z (fractional)
Si 0.135 0.365 0.000
Si 0.635 0.135 0.000
Si 0.865 0.635 0.000
Si 0.365 0.865 0.000
Li 0.671 0.829 0.500
Li 0.829 0.329 0.500
Li 0.329 0.171 0.500
Li 0.171 0.671 0.500
Rh 0.000 0.000 0.000
Rh 0.500 0.500 0.000

=====

Below is LiSiRh after structural relaxation, with properties calculated at the PBE level.

Summary:
* Fermi-level density of states: 0.122 states/eV/atom
* total energy: -5.550 eV/atom
* total magnetization: 0.000 μB/atom

Unit cell a=4.010 b=4.010 c=6.058 alpha=90.00 beta=90.00 gamma=90.00
Element x y z (fractional)
Si 0.000 0.500 0.288
Si 0.500 0.000 0.712
Li 0.500 0.000 0.161
Li 0.000 0.500 0.839
Rh 0.500 0.500 0.500
Rh 0.000 0.000 0.500